(1)
VASP calculation (GGA-PBE) on a relaxed structure of Rb4Cl.

a b c (Å): 6.9280 6.9280 6.9280
angles (deg): 90.00 90.00 90.00
With the nearest neighbours (Å) after each atom.
Space group Pm-3m (No. 221)
Asymmetric unit:
Rb1 0.0000 0.0000 0.0000 x1  12 Rb 4.90
Rb2 0.0000 0.5000 0.5000 x3  2 Cl 3.46
Cl1 0.5000 0.5000 0.5000 x1  6 Rb 3.46

ΔE_f (raw) = -704 meV per atom
Spin magnetization = 0.000 μB per formula unit
Final energy = -1.85 eV per atom

***

(2)
VASP calculation (GGA-PBE) on a relaxed structure of Ac3LaHg6.

a b c (Å): 11.7224 11.7224 11.7224
angles (deg): 90.00 90.00 90.00
With the nearest neighbours (Å) after each atom.
Space group Fm-3m (No. 225)
Asymmetric unit:
Ac1 0.0000 0.0000 0.0000 x4  6 Hg 2.97
Ac2 0.2500 0.2500 0.2500 x8  12 Hg 4.14
La1 0.0000 0.0000 0.5000 x4  6 Hg 2.89
Hg1 0.0000 0.0000 0.2537 x24  1 La 2.89, 1 Ac 2.97

Formation enthalpy at 0 K = 1.8 eV/f.u.
Distance to the lowest polymorph of the same formula = 621 meV/atom
Spin magnetization = 0.000 μB per formula unit
Final energy = -1.73 eV per atom

***

(3)
VASP calculation (GGA-PBE) on a relaxed structure of SiSnSbI2.

a b c (Å): 5.8257 5.8257 5.9443
angles (deg): 90.00 90.00 90.00
With the nearest neighbours (Å) after each atom.
Space group P4/mmm (No. 123)
Asymmetric unit:
Si1 0.0000 0.0000 0.0000 x1  4 Sb 4.12, 8 I 4.16
Sn1 0.5000 0.5000 0.5000 x1  4 I 2.91, 2 Sb 2.97
Sb1 0.5000 0.5000 0.0000 x1  2 Sn 2.97
I1 0.0000 0.5000 0.5000 x2  2 Sn 2.91

ΔE_f (raw) = 800 meV per atom
Distance to the lowest polymorph of the same formula = 419 meV/atom
Spin magnetization = 0.000 μB per formula unit
Final energy = -2.53 eV per atom

***

(4)
VASP calculation (GGA-PBE) on a relaxed structure of BaSr2W.

a b c (Å): 3.9255 6.1486 13.3644
angles (deg): 90.00 90.00 90.00
With the nearest neighbours (Å) after each atom.
Space group Imm2 (No. 44)
Asymmetric unit:
Ba1 0.0000 0.0000 0.0000 x2  2 W 3.22
Sr1 0.0000 0.0000 0.6206 x2  2 W 3.19
Sr2 0.0000 0.5000 0.8099 x2  4 W 3.65, 4 Sr 3.93-3.98, 2 Ba 3.99
W1 0.0000 0.5000 0.3087 x2  2 Sr 3.19, 2 Ba 3.22

Formation enthalpy at 0 K = 4.1 eV/f.u.
Distance to the lowest polymorph of the same formula = 46 meV/atom
Spin magnetization = 2.490 μB per formula unit
Final energy = -3.54 eV per atom

***

(5)
VASP calculation (GGA-PBE) on a relaxed structure of Cs2KSn3O8.

a b c (Å): 6.5637 6.5637 21.4974
angles (deg): 90.00 90.00 120.00
With the nearest neighbours (Å) after each atom.
Space group R3m (No. 160, hexagonal axes)
Asymmetric unit:
Cs1 0.0000 0.0000 0.0000 x3  3 O 2.76
Cs2 0.0000 0.0000 0.3683 x3  6 O 3.01-3.02
K1 0.0000 0.0000 0.7549 x3  3 O 2.51
Sn1 0.1670 0.3341 0.2009 x9  6 O 2.09-2.23
O1 0.0000 0.0000 0.1467 x3  3 Sn 2.23
O2 0.0000 0.0000 0.5892 x3  3 Sn 2.23
O3 0.0380 0.5190 0.1510 x9  2 Sn 2.09
O4 0.1868 0.3736 0.9177 x9  2 Sn 2.09

ΔE_f (raw) = -1459 meV per atom
Spin magnetization = 1.024 μB per formula unit
Final energy = -5.35 eV per atom

***

(6)
VASP calculation (GGA-PBE) on a relaxed structure of Sr2FeRh.

a b c (Å): 5.2477 5.2477 3.6614
angles (deg): 90.00 90.00 90.00
With the nearest neighbours (Å) after each atom.
Space group P4/mmm (No. 123)
Asymmetric unit:
Sr1 0.0000 0.5000 0.0000 x2  4 Fe 3.20, 4 Rh 3.20
Fe1 0.0000 0.0000 0.5000 x1  8 Sr 3.20
Rh1 0.5000 0.5000 0.5000 x1  8 Sr 3.20

Formation enthalpy at 0 K = 1.7 eV/f.u.
Distance to the lowest polymorph of the same formula = 344 meV/atom
Spin magnetization = 2.940 μB per formula unit
Final energy = -4.38 eV per atom

***

(7)
VASP calculation (GGA-PBE) on a relaxed structure of Sm12Sb6N.

a b c (Å): 13.0530 13.0530 12.1604
angles (deg): 90.00 90.00 120.00
With the nearest neighbours (Å) after each atom.
Space group R-3 (No. 148, hexagonal axes)
Asymmetric unit:
Sm1 0.0349 0.1963 0.3880 x18  4 Sb 3.08-3.35
Sm2 0.0549 0.1787 0.8822 x18  1 N 2.52
Sb1 0.0425 0.4316 0.3138 x18  7 Sm 3.08-3.35
N1 0.0000 0.0000 0.0000 x3  6 Sm 2.52

ΔE_f (raw) = -777 meV per atom
Spin magnetization = 0.001 μB per formula unit
Final energy = -5.50 eV per atom

***

(8)
VASP calculation (GGA-PBE) on a relaxed structure of Ta2AsBr.

a b c (Å): 3.5425 4.2680 6.4181
angles (deg): 90.00 90.00 90.00
With the nearest neighbours (Å) after each atom.
Space group Pmm2 (No. 25)
Asymmetric unit:
Ta1 0.0000 0.0000 0.0000 x1  2 As 2.68, 2 Br 2.74, 4 Ta 2.79
Ta2 0.5000 0.5000 0.0487 x1  2 As 2.62, 2 Br 2.78, 4 Ta 2.79
As1 0.0000 0.5000 0.7478 x1  4 Ta 2.62-2.68
Br1 0.5000 0.0000 0.3251 x1  4 Ta 2.74-2.78

ΔE_f (raw) = 63 meV per atom
Distance to the lowest polymorph of the same formula = 205 meV/atom
Spin magnetization = 0.000 μB per formula unit
Final energy = -7.44 eV per atom

***

Which of these has the highest final energy?
Ac3LaHg6

***

The lowest final energy belongs to which entry?
Ta2AsBr

***

Which of these has the highest spin magnetization?
Sr2FeRh